Entry 1:
Here is an optimized crystal structure of KTbMgI6 from the Alexandria database. Energies are from PBE-GGA.

Cell lengths 7.7503, 7.7503, 15.7071 Å; angles 90.00, 90.00, 120.00 degrees
Last column: nearest neighbours and their distance in Å.
Positions (direct):
K 0.0000 0.0000 0.0000  6 I 3.60
K 0.0000 0.0000 0.5000  6 I 3.60
Tb 0.6667 0.3333 0.2500  6 I 3.06
Tb 0.3333 0.6667 0.7500  6 I 3.06
Mg 0.3333 0.6667 0.2500  6 I 2.96
Mg 0.6667 0.3333 0.7500  6 I 2.96
I 0.6267 0.6362 0.1397  1 Mg 2.96, 1 Tb 3.06
I 0.0095 0.3733 0.1397  1 Mg 2.96, 1 Tb 3.06
I 0.3733 0.0095 0.6397  1 Mg 2.96, 1 Tb 3.06
I 0.9905 0.6267 0.8603  1 Mg 2.96, 1 Tb 3.06
I 0.3638 0.3733 0.3603  1 Mg 2.96, 1 Tb 3.06
I 0.0095 0.6362 0.3603  1 Mg 2.96, 1 Tb 3.06
I 0.6362 0.0095 0.8603  1 Mg 2.96, 1 Tb 3.06
I 0.6267 0.9905 0.3603  1 Mg 2.96, 1 Tb 3.06
I 0.9905 0.3638 0.6397  1 Mg 2.96, 1 Tb 3.06
I 0.3638 0.9905 0.1397  1 Mg 2.96, 1 Tb 3.06
I 0.6362 0.6267 0.6397  1 Mg 2.96, 1 Tb 3.06
I 0.3733 0.3638 0.8603  1 Mg 2.96, 1 Tb 3.06

Results
**M_tot**: 0.0 μB/f.u.
**Crystal system**: trigonal
**DFT total energy**: -3.139 eV/atom
**Formation energy from raw total energies**: -1.292 eV/atom

---

Entry 2:
Here is an optimized crystal structure of YPSe2Br from the Alexandria database. Energies are from PBE-GGA.

Cell lengths 5.0020, 5.0020, 4.8134 Å; angles 90.00, 90.00, 90.00 degrees
Last column: nearest neighbours and their distance in Å.
Positions (direct):
Y 0.5000 0.5000 0.5000  8 Se 3.47, 4 Br 3.54
P 0.0000 0.0000 0.0000  2 Br 2.41, 4 Se 2.50
Se 0.0000 0.5000 0.0000  2 P 2.50
Se 0.5000 0.0000 0.0000  2 P 2.50
Br 0.0000 0.0000 0.5000  2 P 2.41

Results
**M_tot**: 0.0 μB/f.u.
**Crystal system**: tetragonal
**ΔE to the lowest computed polymorph**: 0.000 eV per atom
**DFT total energy**: -4.478 eV/atom
**Formation energy from raw total energies**: -0.375 eV/atom